DFT (PBEsol) results for crystalline Hf3InRh at its relaxed geometry.

Cell: 4.907 4.907 4.907 Å, 90.00 90.00 90.00°
Element x y z (fractional)
Hf 0.000 0.500 0.000
Hf 0.000 0.000 0.500
Hf 0.500 0.000 0.000
Rh 0.000 0.000 0.000
In 0.500 0.500 0.500

Values from the calculation:
polymorph energy (0 for the lowest one) = 0.00 eV per formula unit
volume = 118.2 Å³/f.u.
DFT formation energy = 142 meV/atom